Material: NiHg2Te
Method: DFT, PBE
State: relaxed

Summary:
The raw formation energy comes out at 0.244 eV/atom.

abc: 3.0776 3.0776 9.7240
angles: 90.00 90.00 90.00
Last column: nearest neighbours and their distance in Å.
Space group P4/mmm (No. 123)
Symmetry-distinct sites (fractional):
Ni (0.0000, 0.0000, 0.0000) (multiplicity 1)  8 Hg 2.76, 4 Ni 3.08
Hg (0.5000, 0.5000, 0.1738) (multiplicity 2)  4 Ni 2.76, 4 Hg 3.08
Te (0.0000, 0.0000, 0.5000) (multiplicity 1)  4 Te 3.08